Entry 1:
Entry from Alexandria: an optimized crystal structure of Pm2Dy7Sc2 (PBE).

Calculated values
ρ, g/cm³: 7.18
Uncorrected energy, eV per atom: -4.766

Unit cell a=3.538 b=10.507 c=10.507 alpha=66.45 beta=80.31 gamma=80.31
Fractional coordinates of all 11 atoms:
Sc  0.000  0.764  0.236
Dy  0.163  0.184  0.491
Sc  0.500  0.320  0.680
Dy  0.833  0.013  0.320
Dy  0.837  0.509  0.816
Dy  0.390  0.697  0.523
Pm  0.290  0.308  0.111
Dy  0.167  0.680  0.987
Dy  0.610  0.477  0.303
Pm  0.710  0.889  0.692
Dy  0.500  0.014  0.986



Entry 2:
Entry from Alexandria: an optimized crystal structure of PmDySc2 (PBE).

Calculated values
ρ, g/cm³: 5.79
Uncorrected energy, eV per atom: -5.423

Unit cell a=5.443 b=5.443 c=5.443 alpha=60.00 beta=60.00 gamma=60.00
Fractional coordinates of all 4 atoms:
Sc  0.250  0.250  0.250
Dy  0.000  0.000  0.000
Pm  0.500  0.500  0.500
Sc  0.750  0.750  0.750



Entry 3:
Entry from Alexandria: an optimized crystal structure of Pm3Dy2Sc2 (PBE).

Calculated values
ρ, g/cm³: 6.55
Uncorrected energy, eV per atom: -5.119

Unit cell a=3.493 b=8.397 c=8.553 alpha=117.91 beta=89.96 gamma=102.02
Fractional coordinates of all 7 atoms:
Sc  0.930  0.860  0.566
Pm  0.704  0.409  0.294
Pm  0.296  0.591  0.706
Dy  0.367  0.733  0.180
Pm  0.000  0.000  0.000
Dy  0.633  0.267  0.820
Sc  0.070  0.140  0.434



Entry 4:
Entry from Alexandria: an optimized crystal structure of Pm6DySc2 (PBE).

Calculated values
ρ, g/cm³: 6.50
Uncorrected energy, eV per atom: -5.011

Unit cell a=3.530 b=11.461 c=8.663 alpha=54.84 beta=90.00 gamma=90.00
Fractional coordinates of all 9 atoms:
Sc  0.500  0.794  0.866
Pm  0.000  0.117  0.537
Dy  0.000  0.000  0.000
Pm  0.000  0.477  0.206
Sc  0.500  0.206  0.134
Pm  0.500  0.316  0.667
Pm  0.000  0.523  0.794
Pm  0.500  0.684  0.333
Pm  0.000  0.883  0.463



Entry 5:
Entry from Alexandria: an optimized crystal structure of PmDySc4 (PBE).

Calculated values
ρ, g/cm³: 4.98
Uncorrected energy, eV per atom: -5.712

Unit cell a=8.456 b=5.343 c=9.834 alpha=90.01 beta=104.97 gamma=129.17
Fractional coordinates of all 12 atoms:
Sc  0.041  0.791  0.083
Sc  0.959  0.209  0.917
Sc  0.795  0.045  0.583
Sc  0.205  0.955  0.417
Dy  0.874  0.124  0.247
Sc  0.458  0.708  0.917
Pm  0.623  0.373  0.747
Sc  0.288  0.538  0.583
Pm  0.377  0.627  0.253
Sc  0.542  0.292  0.083
Dy  0.126  0.876  0.753
Sc  0.712  0.462  0.417



Entry 6:
Entry from Alexandria: an optimized crystal structure of Pm2Dy4Sc (PBE).

Calculated values
ρ, g/cm³: 6.59
Uncorrected energy, eV per atom: -4.328

Unit cell a=5.357 b=5.357 c=9.441 alpha=106.48 beta=106.48 gamma=90.00
Fractional coordinates of all 7 atoms:
Dy  0.000  0.500  0.000
Dy  0.825  0.825  0.650
Sc  0.000  0.000  0.000
Dy  0.175  0.175  0.350
Pm  0.374  0.374  0.748
Pm  0.626  0.626  0.252
Dy  0.500  0.000  0.000



Entry 7:
Entry from Alexandria: an optimized crystal structure of Pm2Dy8Sc3 (PBE).

Calculated values
ρ, g/cm³: 6.89
Uncorrected energy, eV per atom: -4.770

Unit cell a=6.562 b=8.697 c=8.542 alpha=120.60 beta=96.93 gamma=90.00
Fractional coordinates of all 13 atoms:
Dy  0.424  0.426  0.217
Pm  0.718  0.796  0.592
Dy  0.576  0.209  0.783
Sc  0.500  0.000  0.000
Pm  0.282  0.204  0.408
Dy  0.210  0.810  0.619
Dy  0.888  0.588  0.176
Dy  0.112  0.412  0.824
Dy  0.576  0.574  0.783
Sc  0.000  0.836  0.000
Dy  0.790  0.190  0.381
Dy  0.424  0.791  0.217
Sc  0.000  0.164  0.000



Entry 8:
Entry from Alexandria: an optimized crystal structure of Pm5Dy3Sc2 (PBE).

Calculated values
ρ, g/cm³: 6.90
Uncorrected energy, eV per atom: -4.983

Unit cell a=9.372 b=9.367 c=9.352 alpha=106.85 beta=106.55 gamma=115.23
Fractional coordinates of all 20 atoms:
Pm  0.425  0.271  0.447
Pm  0.879  0.628  0.750
Sc  0.977  0.927  0.145
Dy  0.678  0.026  0.954
Sc  0.023  0.073  0.855
Pm  0.072  0.225  0.546
Pm  0.928  0.775  0.454
Pm  0.823  0.477  0.052
Pm  0.177  0.523  0.948
Pm  0.575  0.729  0.553
Pm  0.627  0.878  0.249
Dy  0.272  0.825  0.349
Sc  0.776  0.327  0.350
Pm  0.121  0.372  0.250
Dy  0.728  0.175  0.651
Dy  0.473  0.420  0.150
Dy  0.527  0.580  0.850
Pm  0.373  0.122  0.751
Dy  0.322  0.974  0.046
Sc  0.224  0.673  0.650



| no. | E_form (eV per atom) | N(E_F) (states/eV/cell) |
| --- | --- | --- |
| 1 | 0.18 | 17.511 |
| 2 | 0.08 | 5.731 |
| 3 | 0.04 | 10.627 |
| 4 | 0.07 | 14.123 |
| 5 | 0.07 | 21.561 |
| 6 | 0.56 | 8.761 |
| 7 | 0.25 | 19.083 |
| 8 | 0.04 | 28.066 |